{"formula": "CuAg", "functional": "PBE", "state": "relaxed", "sg": "I-43m", "n_ef_per_ev_atom": 0.225, "e_tot_ev_per_fu": -5.1, "e_form_mev_per_atom": 941, "cell": [[7.9043, 0.0000, 0.0000], [0.0000, 7.9043, 0.0000], [0.0000, 0.0000, 7.9043]], "species": ["Ag", "Ag", "Ag", "Ag", "Ag", "Ag", "Ag", "Ag", "Cu", "Cu", "Cu", "Cu", "Cu", "Cu", "Cu", "Cu"], "fractional_positions": [[0.1294, 0.1294, 0.8706], [0.3706, 0.6294, 0.6294], [0.8706, 0.1294, 0.1294], [0.3706, 0.3706, 0.3706], [0.8706, 0.8706, 0.8706], [0.6294, 0.6294, 0.3706], [0.1294, 0.8706, 0.1294], [0.6294, 0.3706, 0.6294], [0.6879, 0.3121, 0.3121], [0.1879, 0.1879, 0.1879], [0.8121, 0.8121, 0.1879], [0.3121, 0.6879, 0.3121], [0.6879, 0.6879, 0.6879], [0.3121, 0.3121, 0.6879], [0.8121, 0.1879, 0.8121], [0.1879, 0.8121, 0.8121]]}

{"formula": "CuAg", "functional": "PBE", "state": "relaxed", "sg": "Cm", "n_ef_per_ev_atom": 0.259, "e_tot_ev_per_fu": -6.7, "e_form_mev_per_atom": 104, "cell": [[-3.8936, -0.9166, 2.9118], [-2.1514, -3.2045, 3.0953], [1.4555, 1.6531, 6.7905]], "species": ["Cu", "Cu", "Cu", "Ag", "Ag", "Ag"], "fractional_positions": [[0.9509, 0.9509, 0.5742], [0.3280, 0.3280, 0.3873], [0.3000, 0.3000, 0.8817], [0.6434, 0.6434, 0.2456], [0.9702, 0.9702, 0.0495], [0.6408, 0.6408, 0.6950]]}

{"formula": "CuAg", "functional": "PBE", "state": "relaxed", "sg": "P2_1/m", "n_ef_per_ev_atom": 0.253, "e_tot_ev_per_fu": -6.7, "e_form_mev_per_atom": 130, "cell": [[2.7730, 0.0000, 0.2646], [0.0000, 4.5741, 0.0000], [-0.4904, 0.0000, 4.7337]], "species": ["Cu", "Cu", "Ag", "Ag"], "fractional_positions": [[0.7572, 0.7500, 0.5828], [0.2428, 0.2500, 0.4172], [0.7463, 0.2500, 0.9001], [0.2537, 0.7500, 0.0999]]}

{"formula": "CuAg", "functional": "PBE", "state": "relaxed", "sg": "P6_3/mmc", "n_ef_per_ev_atom": 0.371, "e_tot_ev_per_fu": -6.3, "e_form_mev_per_atom": 348, "cell": [[4.0655, 0.0000, 0.0000], [-2.0327, 3.5208, 0.0000], [0.0000, 0.0000, 4.8186]], "species": ["Cu", "Cu", "Ag", "Ag"], "fractional_positions": [[0.0000, 0.0000, 0.0000], [0.0000, 0.0000, 0.5000], [0.3333, 0.6667, 0.2500], [0.6667, 0.3333, 0.7500]]}

{"formula": "CuAg", "functional": "PBE", "state": "relaxed", "sg": "P-6m2", "n_ef_per_ev_atom": 0.385, "e_tot_ev_per_fu": -6.6, "e_form_mev_per_atom": 156, "cell": [[2.8205, 0.0000, 0.0000], [-1.4102, 2.4426, 0.0000], [0.0000, 0.0000, 4.4234]], "species": ["Cu", "Ag"], "fractional_positions": [[0.3333, 0.6667, 0.5000], [0.0000, 0.0000, 0.0000]]}

{"formula": "CuAg", "functional": "PBE", "state": "relaxed", "sg": "P6_3/mmc", "n_ef_per_ev_atom": 0.243, "e_tot_ev_per_fu": -6.6, "e_form_mev_per_atom": 171, "cell": [[-5.0119, 4.7688, -3.2856], [0.5845, -7.2297, -2.4588], [-2.6774, -1.0749, 2.5240]], "species": ["Cu", "Cu", "Cu", "Cu", "Cu", "Cu", "Ag", "Ag", "Ag", "Ag", "Ag", "Ag"], "fractional_positions": [[0.1196, 0.5598, 0.2500], [0.4402, 0.8804, 0.2500], [0.4402, 0.5598, 0.2500], [0.8804, 0.4402, 0.7500], [0.5598, 0.1196, 0.7500], [0.5598, 0.4402, 0.7500], [0.6696, 0.8348, 0.7500], [0.8348, 0.6696, 0.2500], [0.8348, 0.1652, 0.2500], [0.1652, 0.3304, 0.7500], [0.1652, 0.8348, 0.7500], [0.3304, 0.1652, 0.2500]]}